The following is a DFT calculation (PBE+U) of a relaxed PmFeRh2O6 crystal.

abc: 5.404 5.404 5.666
angles: 61.51 61.51 60.00
Last column: magnetic moment on the atom in μB.
Sites, in units of the cell vectors:
O1 0.714 0.159 0.757  0.07
O2 0.159 0.371 0.757  0.07
O3 0.245 0.915 0.224  0.08
O4 0.616 0.245 0.224  0.08
O5 0.915 0.616 0.224  0.08
O6 0.371 0.714 0.757  0.08
Rh1 0.518 0.518 0.447  0.04
Rh2 0.013 0.013 0.962  0.02
Fe1 0.313 0.313 0.060  4.29
Pm1 0.798 0.798 0.605  0.03

**Calculated volume**: 11.96 Å³/atom
**Raw total energy**: -7.0049 eV/atom
**Symmetry**: No. 146
**Total magnetic moment**: 0.493 μB/atom